The following is a PBE calculation of a geometry-optimized KDyAs structure, from OQMD.

The structure belongs to space group P6_3/mmc (No. 194); the cell edges are 4.7910, 4.7910 and 12.1123 Å and the angles 90.00°, 90.00° and 120.00°. The inequivalent atoms are K at (0.0000, 0.0000, 0.0000), Dy at (0.3333, 0.6667, 0.2500) and As at (0.3333, 0.6667, 0.7500).

The calculation puts the total energy at -3.90 eV per atom.